# Zn2CrOs

A relaxed Zn2CrOs crystal (PBEsol, Alexandria via LeMat-Bulk).

Excess energy over the best structure of this formula in the dataset: 0.2757 eV per atom
Energy of formation: 31.4 kJ/mol of atoms
Calculated density: 11.63 g cm⁻³
Crystal system: orthorhombic
SG: Pmmm

Unit cell a=2.5853 b=4.0010 c=5.1497 alpha=90.00 beta=90.00 gamma=90.00
Atoms (fractional coordinates):
Zn  0.0000  0.0000  0.2481
Zn  0.0000  0.0000  0.7519
Cr  0.5000  0.5000  0.0000
Os  0.5000  0.5000  0.5000

***

# Zn2CrOs

A relaxed Zn2CrOs crystal (PBEsol, Alexandria via LeMat-Bulk).

Excess energy over the best structure of this formula in the dataset: 0.0000 eV per atom
Energy of formation: 4.8 kJ/mol of atoms
Calculated density: 11.74 g cm⁻³
Crystal system: tetragonal
SG: P4mm

Unit cell a=2.8486 b=2.8486 c=6.5033 alpha=90.00 beta=90.00 gamma=90.00
Atoms (fractional coordinates):
Zn  0.0000  0.0000  0.0000
Zn  0.5000  0.5000  0.2585
Cr  0.0000  0.0000  0.5130
Os  0.5000  0.5000  0.7242

***

# Zn2CrOs

A relaxed Zn2CrOs crystal (PBEsol, Alexandria via LeMat-Bulk).

Excess energy over the best structure of this formula in the dataset: 0.0505 eV per atom
Energy of formation: 9.6 kJ/mol of atoms
Calculated density: 11.61 g cm⁻³
Crystal system: trigonal
SG: R3m

Unit cell a=2.6711 b=2.6711 c=25.9070 alpha=90.00 beta=90.00 gamma=120.00
Atoms (fractional coordinates):
Zn  0.0000  0.0000  0.0000
Zn  0.0000  0.0000  0.2454
Zn  0.3333  0.6667  0.6667
Zn  0.3333  0.6667  0.9121
Zn  0.6667  0.3333  0.3333
Zn  0.6667  0.3333  0.5787
Cr  0.0000  0.0000  0.4962
Cr  0.3333  0.6667  0.1629
Cr  0.6667  0.3333  0.8296
Os  0.0000  0.0000  0.7543
Os  0.3333  0.6667  0.4210
Os  0.6667  0.3333  0.0876

***

# CrP3

A relaxed CrP3 crystal (PBEsol, Alexandria via LeMat-Bulk).

Excess energy over the best structure of this formula in the dataset: 0.0000 eV per atom
Energy of formation: 21.2 kJ/mol of atoms
Calculated density: 4.72 g cm⁻³
Crystal system: orthorhombic
SG: Immm

Unit cell a=3.1463 b=4.2699 c=7.5857 alpha=90.00 beta=90.00 gamma=90.00
Atoms (fractional coordinates):
Cr  0.0000  0.0000  0.0000
Cr  0.5000  0.5000  0.5000
P  0.0000  0.0000  0.5000
P  0.0000  0.5000  0.2198
P  0.0000  0.5000  0.7802
P  0.5000  0.0000  0.2802
P  0.5000  0.0000  0.7198
P  0.5000  0.5000  0.0000

***

# Cr5P3

A relaxed Cr5P3 crystal (PBEsol, Alexandria via LeMat-Bulk).

Excess energy over the best structure of this formula in the dataset: 0.0074 eV per atom
Energy of formation: -48.2 kJ/mol of atoms
Calculated density: 6.67 g cm⁻³
Crystal system: hexagonal
SG: P6_3/mcm

Unit cell a=6.6225 b=6.6225 c=4.6276 alpha=90.00 beta=90.00 gamma=120.00
Atoms (fractional coordinates):
Cr  0.0000  0.2441  0.2500
Cr  0.0000  0.7559  0.7500
Cr  0.2441  0.0000  0.2500
Cr  0.2441  0.2441  0.7500
Cr  0.3333  0.6667  0.0000
Cr  0.3333  0.6667  0.5000
Cr  0.6667  0.3333  0.0000
Cr  0.6667  0.3333  0.5000
Cr  0.7559  0.0000  0.7500
Cr  0.7559  0.7559  0.2500
P  0.0000  0.3870  0.7500
P  0.0000  0.6130  0.2500
P  0.3870  0.0000  0.7500
P  0.3870  0.3870  0.2500
P  0.6130  0.0000  0.2500
P  0.6130  0.6130  0.7500

***

# Cr5P3

A relaxed Cr5P3 crystal (PBEsol, Alexandria via LeMat-Bulk).

Excess energy over the best structure of this formula in the dataset: 0.0000 eV per atom
Energy of formation: -48.9 kJ/mol of atoms
Calculated density: 6.73 g cm⁻³
Crystal system: tetragonal
SG: I4/mcm

Unit cell a=6.5776 b=6.5776 c=6.5776 alpha=96.98 beta=96.98 gamma=139.21
Atoms (fractional coordinates):
Cr  0.0769  0.7798  0.8567
Cr  0.2202  0.0769  0.2971
Cr  0.2500  0.7500  0.5000
Cr  0.2798  0.5769  0.8567
Cr  0.4231  0.2798  0.7029
Cr  0.5769  0.7202  0.2971
Cr  0.7202  0.4231  0.1433
Cr  0.7500  0.2500  0.5000
Cr  0.7798  0.9231  0.7029
Cr  0.9231  0.2202  0.1433
P  0.1646  0.3354  0.5000
P  0.2500  0.2500  0.0000
P  0.3354  0.8354  0.1709
P  0.6646  0.1646  0.8291
P  0.7500  0.7500  0.0000
P  0.8354  0.6646  0.5000

***

# Cr5P

A relaxed Cr5P crystal (PBEsol, Alexandria via LeMat-Bulk).

Excess energy over the best structure of this formula in the dataset: 0.0606 eV per atom
Energy of formation: -11.4 kJ/mol of atoms
Calculated density: 7.36 g cm⁻³
Crystal system: tetragonal
SG: P4/mmm

Unit cell a=2.8454 b=2.8454 c=8.1077 alpha=90.00 beta=90.00 gamma=90.00
Atoms (fractional coordinates):
Cr  0.0000  0.0000  0.0000
Cr  0.0000  0.0000  0.3391
Cr  0.0000  0.0000  0.6609
Cr  0.5000  0.5000  0.1697
Cr  0.5000  0.5000  0.8303
P  0.5000  0.5000  0.5000

***

# Cr2P

A relaxed Cr2P crystal (PBEsol, Alexandria via LeMat-Bulk).

Energy of formation: -44.2 kJ/mol of atoms
Calculated density: 6.65 g cm⁻³
Crystal system: orthorhombic
SG: Imm2

Unit cell a=6.7422 b=6.7422 c=6.7422 alpha=123.32 beta=83.30 gamma=124.57
Atoms (fractional coordinates):
Cr  0.0000  0.0000  0.0000
Cr  0.0763  0.5763  0.5000
Cr  0.1958  0.1137  0.6684
Cr  0.1958  0.5274  0.0821
Cr  0.3825  0.0968  0.2858
Cr  0.4453  0.1137  0.9179
Cr  0.4453  0.5274  0.3316
Cr  0.4708  0.6826  0.7882
Cr  0.7082  0.0055  0.2973
Cr  0.7082  0.4109  0.7027
Cr  0.8110  0.0968  0.7142
Cr  0.8944  0.6826  0.2118
P  0.1149  0.2232  0.4391
P  0.1149  0.6758  0.8917
P  0.4218  0.9218  0.5000
P  0.5313  0.5313  0.0000
P  0.7841  0.2232  0.1083
P  0.7841  0.6758  0.5609

***

# Cr4P

A relaxed Cr4P crystal (PBEsol, Alexandria via LeMat-Bulk).

Energy of formation: 64.5 kJ/mol of atoms
Calculated density: 6.22 g cm⁻³
Crystal system: tetragonal
SG: I4/mmm

Unit cell a=3.5192 b=3.5192 c=10.3048 alpha=90.00 beta=90.00 gamma=90.00
Atoms (fractional coordinates):
Cr  0.0000  0.0000  0.1096
Cr  0.0000  0.0000  0.8904
Cr  0.0000  0.5000  0.2500
Cr  0.0000  0.5000  0.7500
Cr  0.5000  0.0000  0.2500
Cr  0.5000  0.0000  0.7500
Cr  0.5000  0.5000  0.3904
Cr  0.5000  0.5000  0.6096
P  0.0000  0.0000  0.5000
P  0.5000  0.5000  0.0000

***

# CrP3

A relaxed CrP3 crystal (PBEsol, Alexandria via LeMat-Bulk).

Excess energy over the best structure of this formula in the dataset: 0.0265 eV per atom
Energy of formation: 23.8 kJ/mol of atoms
Calculated density: 4.31 g cm⁻³
Crystal system: orthorhombic
SG: Cmcm

Unit cell a=4.5917 b=13.0583 c=3.7235 alpha=90.00 beta=90.00 gamma=90.00
Atoms (fractional coordinates):
Cr  0.0000  0.0517  0.2500
Cr  0.0000  0.9483  0.7500
Cr  0.5000  0.4483  0.7500
Cr  0.5000  0.5517  0.2500
P  0.0000  0.4476  0.2500
P  0.0000  0.5524  0.7500
P  0.2328  0.3001  0.7500
P  0.2328  0.6999  0.2500
P  0.2672  0.1999  0.2500
P  0.2672  0.8001  0.7500
P  0.5000  0.0524  0.7500
P  0.5000  0.9476  0.2500
P  0.7328  0.1999  0.2500
P  0.7328  0.8001  0.7500
P  0.7672  0.3001  0.7500
P  0.7672  0.6999  0.2500

***

# Cr5P

A relaxed Cr5P crystal (PBEsol, Alexandria via LeMat-Bulk).

Excess energy over the best structure of this formula in the dataset: 0.4580 eV per atom
Energy of formation: 26.9 kJ/mol of atoms
Calculated density: 7.02 g cm⁻³
Crystal system: cubic
SG: F-43m

Unit cell a=4.5997 b=4.5997 c=4.5997 alpha=60.00 beta=60.00 gamma=60.00
Atoms (fractional coordinates):
Cr  0.0000  0.0000  0.0000
Cr  0.1285  0.6238  0.6238
Cr  0.6238  0.1285  0.6238
Cr  0.6238  0.6238  0.1285
Cr  0.6238  0.6238  0.6238
P  0.2500  0.2500  0.2500

***

# Cr2P

A relaxed Cr2P crystal (PBEsol, Alexandria via LeMat-Bulk).

Energy of formation: 30.5 kJ/mol of atoms
Calculated density: 6.32 g cm⁻³
Crystal system: cubic
SG: Fd-3m

Unit cell a=4.6456 b=4.6456 c=4.6456 alpha=60.00 beta=60.00 gamma=60.00
Atoms (fractional coordinates):
Cr  0.0000  0.0000  0.0000
Cr  0.0000  0.0000  0.5000
Cr  0.0000  0.5000  0.0000
Cr  0.5000  0.0000  0.0000
P  0.3750  0.3750  0.3750
P  0.6250  0.6250  0.6250

***

# Cr12P7

A relaxed Cr12P7 crystal (PBEsol, Alexandria via LeMat-Bulk).

Energy of formation: -45.0 kJ/mol of atoms
Calculated density: 6.45 g cm⁻³
Crystal system: hexagonal
SG: P-6

Unit cell a=8.9797 b=8.9797 c=3.0989 alpha=90.00 beta=90.00 gamma=120.00
Atoms (fractional coordinates):
Cr  0.0171  0.2174  0.0000
Cr  0.1413  0.6392  0.0000
Cr  0.2002  0.9829  0.0000
Cr  0.2614  0.2467  0.5000
Cr  0.3608  0.5021  0.0000
Cr  0.4979  0.8587  0.0000
Cr  0.5085  0.1294  0.5000
Cr  0.6209  0.4915  0.5000
Cr  0.7533  0.0147  0.5000
Cr  0.7826  0.7998  0.0000
Cr  0.8706  0.3791  0.5000
Cr  0.9853  0.7386  0.5000
P  0.0000  0.0000  0.5000
P  0.1549  0.4494  0.5000
P  0.2945  0.8451  0.5000
P  0.4574  0.2854  0.0000
P  0.5506  0.7055  0.5000
P  0.7146  0.1720  0.0000
P  0.8280  0.5426  0.0000

***

# Cr5P

A relaxed Cr5P crystal (PBEsol, Alexandria via LeMat-Bulk).

Excess energy over the best structure of this formula in the dataset: 0.0000 eV per atom
Energy of formation: -17.3 kJ/mol of atoms
Calculated density: 7.38 g cm⁻³
Crystal system: monoclinic
SG: C2/m

Unit cell a=8.7270 b=2.8780 c=5.5155 alpha=90.00 beta=109.11 gamma=90.00
Atoms (fractional coordinates):
Cr  0.0000  0.0000  0.0000
Cr  0.1647  0.5000  0.8322
Cr  0.1708  0.5000  0.3366
Cr  0.3292  0.0000  0.6634
Cr  0.3353  0.0000  0.1678
Cr  0.5000  0.5000  0.0000
Cr  0.6647  0.0000  0.8322
Cr  0.6708  0.0000  0.3366
Cr  0.8292  0.5000  0.6634
Cr  0.8353  0.5000  0.1678
P  0.0000  0.0000  0.5000
P  0.5000  0.5000  0.5000

***

# Cr2PPb

A relaxed Cr2PPb crystal (PBEsol, Alexandria via LeMat-Bulk).

Excess energy over the best structure of this formula in the dataset: 0.0094 eV per atom
Energy of formation: 61.1 kJ/mol of atoms
Calculated density: 9.01 g cm⁻³
Crystal system: monoclinic
SG: C2/m

Unit cell a=5.9436 b=6.9575 c=3.1012 alpha=90.00 beta=100.29 gamma=90.00
Atoms (fractional coordinates):
Cr  0.2500  0.2500  0.0000
Cr  0.2500  0.7500  0.0000
Cr  0.7500  0.2500  0.0000
Cr  0.7500  0.7500  0.0000
P  0.0000  0.0000  0.5000
P  0.5000  0.5000  0.5000
Pb  0.0000  0.5000  0.5000
Pb  0.5000  0.0000  0.5000

***

# CrP2Pb

A relaxed CrP2Pb crystal (PBEsol, Alexandria via LeMat-Bulk).

Energy of formation: 46.9 kJ/mol of atoms
Calculated density: 7.34 g cm⁻³
Crystal system: orthorhombic
SG: Imm2

Unit cell a=3.1874 b=5.1661 c=8.8272 alpha=90.00 beta=90.00 gamma=90.00
Atoms (fractional coordinates):
Cr  0.0000  0.0000  0.0000
Cr  0.5000  0.5000  0.5000
P  0.0000  0.0000  0.4171
P  0.0000  0.5000  0.7273
P  0.5000  0.0000  0.2273
P  0.5000  0.5000  0.9171
Pb  0.0000  0.5000  0.2050
Pb  0.5000  0.0000  0.7050

***

# CrPPb2

A relaxed CrPPb2 crystal (PBEsol, Alexandria via LeMat-Bulk).

Energy of formation: 57.9 kJ/mol of atoms
Calculated density: 9.33 g cm⁻³
Crystal system: tetragonal
SG: I4/mmm

Unit cell a=4.3206 b=4.3206 c=9.4834 alpha=90.00 beta=90.00 gamma=90.00
Atoms (fractional coordinates):
Cr  0.0000  0.0000  0.0000
Cr  0.5000  0.5000  0.5000
P  0.0000  0.0000  0.5000
P  0.5000  0.5000  0.0000
Pb  0.0000  0.5000  0.2500
Pb  0.0000  0.5000  0.7500
Pb  0.5000  0.0000  0.2500
Pb  0.5000  0.0000  0.7500

***

# CrP2Pb

A relaxed CrP2Pb crystal (PBEsol, Alexandria via LeMat-Bulk).

Energy of formation: 9.8 kJ/mol of atoms
Calculated density: 7.78 g cm⁻³
Crystal system: tetragonal
SG: P4mm

Unit cell a=3.0275 b=3.0275 c=7.4796 alpha=90.00 beta=90.00 gamma=90.00
Atoms (fractional coordinates):
Cr  0.0000  0.0000  0.0000
P  0.0000  0.0000  0.3067
P  0.5000  0.5000  0.1176
Pb  0.5000  0.5000  0.7016

***

# Cr2PPb

A relaxed Cr2PPb crystal (PBEsol, Alexandria via LeMat-Bulk).

Excess energy over the best structure of this formula in the dataset: 0.0000 eV per atom
Energy of formation: 60.2 kJ/mol of atoms
Calculated density: 9.64 g cm⁻³
Crystal system: tetragonal
SG: P4/mmm

Unit cell a=4.3217 b=4.3217 c=3.1558 alpha=90.00 beta=90.00 gamma=90.00
Atoms (fractional coordinates):
Cr  0.0000  0.5000  0.0000
Cr  0.5000  0.0000  0.0000
P  0.0000  0.0000  0.5000
Pb  0.5000  0.5000  0.5000

***

# CrP2Pb

A relaxed CrP2Pb crystal (PBEsol, Alexandria via LeMat-Bulk).

Energy of formation: 51.6 kJ/mol of atoms
Calculated density: 7.41 g cm⁻³
Crystal system: tetragonal
SG: I4/mmm

Unit cell a=4.9889 b=4.9889 c=5.7793 alpha=90.00 beta=90.00 gamma=90.00
Atoms (fractional coordinates):
Cr  0.0000  0.0000  0.0000
Cr  0.5000  0.5000  0.5000
P  0.0000  0.5000  0.2500
P  0.0000  0.5000  0.7500
P  0.5000  0.0000  0.2500
P  0.5000  0.0000  0.7500
Pb  0.0000  0.0000  0.5000
Pb  0.5000  0.5000  0.0000